# 1
# La2Tb6Er3Sc | Alexandria | PBE | relaxed
# DOS at the Fermi energy: 33.58 states/eV/cell
# Energy of formation: 3.0 kJ/mol of atoms
# Density: 7.8 g/cm3
# Crystal system: monoclinic
data_La2Tb6Er3Sc
_cell_length_a 6.151
_cell_length_b 10.658
_cell_length_c 11.800
_cell_angle_alpha 90.00
_cell_angle_beta 100.02
_cell_angle_gamma 90.00
_space_group_name_H-M_alt 'C 1 2/m 1'
_space_group_IT_number 12
loop_
_space_group_symop_operation_xyz
'x,y,z'
'-x,-y,-z'
'-x,y,-z'
'x,-y,z'
'x+1/2,y+1/2,z'
'-x+1/2,-y+1/2,-z'
'-x+1/2,y+1/2,-z'
'x+1/2,-y+1/2,z'
loop_
_atom_site_label
_atom_site_type_symbol
_atom_site_fract_x
_atom_site_fract_y
_atom_site_fract_z
La1 La 0.000 0.166 0.000
Tb1 Tb 0.246 0.500 0.746
Tb2 Tb 0.249 0.335 0.253
Er1 Er 0.000 0.000 0.500
Er2 Er 0.000 0.334 0.500
Sc1 Sc 0.000 0.500 0.000


# 2
# LaTb2Er5Sc | Alexandria | PBE | relaxed
# DOS at the Fermi energy: 57.85 states/eV/cell
# Energy of formation: 17.3 kJ/mol of atoms
# Density: 7.9 g/cm3
# Crystal system: orthorhombic
data_LaTb2Er5Sc
_cell_length_a 5.562
_cell_length_b 19.601
_cell_length_c 10.345
_cell_angle_alpha 90.00
_cell_angle_beta 90.00
_cell_angle_gamma 90.00
_space_group_name_H-M_alt 'C m c 21'
_space_group_IT_number 36
loop_
_space_group_symop_operation_xyz
'x,y,z'
'-x,-y,z+1/2'
'-x,y,z'
'x,-y,z+1/2'
'x+1/2,y+1/2,z'
'-x+1/2,-y+1/2,z+1/2'
'-x+1/2,y+1/2,z'
'x+1/2,-y+1/2,z+1/2'
loop_
_atom_site_label
_atom_site_type_symbol
_atom_site_fract_x
_atom_site_fract_y
_atom_site_fract_z
La1 La 0.000 0.085 0.000
Tb1 Tb 0.000 0.386 0.280
Tb2 Tb 0.000 0.389 0.862
Er1 Er 0.000 0.019 0.285
Er2 Er 0.000 0.124 0.567
Er3 Er 0.000 0.204 0.254
Er4 Er 0.000 0.223 0.870
Er5 Er 0.000 0.482 0.569
Sc1 Sc 0.000 0.303 0.561


# 3
# La2Tb3Er6Sc | Alexandria | PBE | relaxed
# DOS at the Fermi energy: 31.26 states/eV/cell
# Energy of formation: 2.8 kJ/mol of atoms
# Density: 8.0 g/cm3
# Crystal system: monoclinic
data_La2Tb3Er6Sc
_cell_length_a 6.129
_cell_length_b 10.616
_cell_length_c 11.725
_cell_angle_alpha 90.00
_cell_angle_beta 100.01
_cell_angle_gamma 90.00
_space_group_name_H-M_alt 'C 1 2/m 1'
_space_group_IT_number 12
loop_
_space_group_symop_operation_xyz
'x,y,z'
'-x,-y,-z'
'-x,y,-z'
'x,-y,z'
'x+1/2,y+1/2,z'
'-x+1/2,-y+1/2,-z'
'-x+1/2,y+1/2,-z'
'x+1/2,-y+1/2,z'
loop_
_atom_site_label
_atom_site_type_symbol
_atom_site_fract_x
_atom_site_fract_y
_atom_site_fract_z
La1 La 0.000 0.166 0.000
Tb1 Tb 0.000 0.000 0.500
Tb2 Tb 0.000 0.334 0.500
Er1 Er 0.246 0.500 0.748
Er2 Er 0.249 0.335 0.252
Sc1 Sc 0.000 0.500 0.000


# 4
# La2Tb5ErSc | Alexandria | PBE | relaxed
# DOS at the Fermi energy: 47.28 states/eV/cell
# Energy of formation: 14.4 kJ/mol of atoms
# Density: 7.3 g/cm3
# Crystal system: orthorhombic
data_La2Tb5ErSc
_cell_length_a 5.580
_cell_length_b 20.185
_cell_length_c 10.422
_cell_angle_alpha 90.00
_cell_angle_beta 90.00
_cell_angle_gamma 90.00
_space_group_name_H-M_alt 'C m c 21'
_space_group_IT_number 36
loop_
_space_group_symop_operation_xyz
'x,y,z'
'-x,-y,z+1/2'
'-x,y,z'
'x,-y,z+1/2'
'x+1/2,y+1/2,z'
'-x+1/2,-y+1/2,z+1/2'
'-x+1/2,y+1/2,z'
'x+1/2,-y+1/2,z+1/2'
loop_
_atom_site_label
_atom_site_type_symbol
_atom_site_fract_x
_atom_site_fract_y
_atom_site_fract_z
La1 La 0.000 0.114 0.000
La2 La 0.000 0.116 0.423
Tb1 Tb 0.000 0.015 0.702
Tb2 Tb 0.000 0.274 0.007
Tb3 Tb 0.000 0.296 0.388
Tb4 Tb 0.000 0.373 0.706
Tb5 Tb 0.000 0.485 0.430
Er1 Er 0.000 0.406 0.151
Sc1 Sc 0.000 0.197 0.701


# 5
# LaTb4Er2Sc | Alexandria | PBE | relaxed
# DOS at the Fermi energy: 74.72 states/eV/cell
# Energy of formation: 40.6 kJ/mol of atoms
# Density: 7.5 g/cm3
# Crystal system: monoclinic
data_LaTb4Er2Sc
_cell_length_a 13.403
_cell_length_b 13.074
_cell_length_c 6.750
_cell_angle_alpha 90.00
_cell_angle_beta 120.19
_cell_angle_gamma 90.00
_space_group_name_H-M_alt 'C 1 2/c 1'
_space_group_IT_number 15
loop_
_space_group_symop_operation_xyz
'x,y,z'
'-x,-y,-z'
'-x,y,-z+1/2'
'x,-y,z+1/2'
'x+1/2,y+1/2,z'
'-x+1/2,-y+1/2,-z'
'-x+1/2,y+1/2,-z+1/2'
'x+1/2,-y+1/2,z+1/2'
loop_
_atom_site_label
_atom_site_type_symbol
_atom_site_fract_x
_atom_site_fract_y
_atom_site_fract_z
La1 La 0.000 0.000 0.000
Tb1 Tb 0.002 0.251 0.495
Tb2 Tb 0.250 0.007 0.498
Er1 Er 0.000 0.500 0.000
Er2 Er 0.250 0.250 0.000
Sc1 Sc 0.250 0.250 0.500


# 6
# La3Tb2Er6Sc | Alexandria | PBE | relaxed
# DOS at the Fermi energy: 33.21 states/eV/cell
# Energy of formation: 3.3 kJ/mol of atoms
# Density: 7.8 g/cm3
# Crystal system: monoclinic
data_La3Tb2Er6Sc
_cell_length_a 6.161
_cell_length_b 10.674
_cell_length_c 11.747
_cell_angle_alpha 90.00
_cell_angle_beta 100.08
_cell_angle_gamma 90.00
_space_group_name_H-M_alt 'C 1 2/m 1'
_space_group_IT_number 12
loop_
_space_group_symop_operation_xyz
'x,y,z'
'-x,-y,-z'
'-x,y,-z'
'x,-y,z'
'x+1/2,y+1/2,z'
'-x+1/2,-y+1/2,-z'
'-x+1/2,y+1/2,-z'
'x+1/2,-y+1/2,z'
loop_
_atom_site_label
_atom_site_type_symbol
_atom_site_fract_x
_atom_site_fract_y
_atom_site_fract_z
La1 La 0.000 0.000 0.000
La2 La 0.000 0.333 0.000
Tb1 Tb 0.000 0.166 0.500
Er1 Er 0.245 0.335 0.742
Er2 Er 0.249 0.000 0.742
Sc1 Sc 0.000 0.500 0.500


# 7
# La3Tb6Er2Sc | Alexandria | PBE | relaxed
# DOS at the Fermi energy: 35.18 states/eV/cell
# Energy of formation: 3.4 kJ/mol of atoms
# Density: 7.5 g/cm3
# Crystal system: monoclinic
data_La3Tb6Er2Sc
_cell_length_a 6.191
_cell_length_b 10.729
_cell_length_c 11.846
_cell_angle_alpha 90.00
_cell_angle_beta 100.06
_cell_angle_gamma 90.00
_space_group_name_H-M_alt 'C 1 2/m 1'
_space_group_IT_number 12
loop_
_space_group_symop_operation_xyz
'x,y,z'
'-x,-y,-z'
'-x,y,-z'
'x,-y,z'
'x+1/2,y+1/2,z'
'-x+1/2,-y+1/2,-z'
'-x+1/2,y+1/2,-z'
'x+1/2,-y+1/2,z'
loop_
_atom_site_label
_atom_site_type_symbol
_atom_site_fract_x
_atom_site_fract_y
_atom_site_fract_z
La1 La 0.000 0.000 0.000
La2 La 0.000 0.333 0.000
Tb1 Tb 0.245 0.335 0.741
Tb2 Tb 0.249 0.000 0.741
Er1 Er 0.000 0.166 0.500
Sc1 Sc 0.000 0.500 0.500


# 8
# La2TbEr5Sc | Alexandria | PBE | relaxed
# DOS at the Fermi energy: 44.86 states/eV/cell
# Energy of formation: 15.0 kJ/mol of atoms
# Density: 7.6 g/cm3
# Crystal system: orthorhombic
data_La2TbEr5Sc
_cell_length_a 5.568
_cell_length_b 19.795
_cell_length_c 10.447
_cell_angle_alpha 90.00
_cell_angle_beta 90.00
_cell_angle_gamma 90.00
_space_group_name_H-M_alt 'C m c 21'
_space_group_IT_number 36
loop_
_space_group_symop_operation_xyz
'x,y,z'
'-x,-y,z+1/2'
'-x,y,z'
'x,-y,z+1/2'
'x+1/2,y+1/2,z'
'-x+1/2,-y+1/2,z+1/2'
'-x+1/2,y+1/2,z'
'x+1/2,-y+1/2,z+1/2'
loop_
_atom_site_label
_atom_site_type_symbol
_atom_site_fract_x
_atom_site_fract_y
_atom_site_fract_z
La1 La 0.000 0.114 0.000
La2 La 0.000 0.116 0.420
Tb1 Tb 0.000 0.410 0.148
Er1 Er 0.000 0.016 0.705
Er2 Er 0.000 0.277 0.005
Er3 Er 0.000 0.297 0.388
Er4 Er 0.000 0.376 0.705
Er5 Er 0.000 0.483 0.426
Sc1 Sc 0.000 0.198 0.700


# 9
# La4Tb2ErSc | Alexandria | PBE | relaxed
# DOS at the Fermi energy: 11.16 states/eV/cell
# Energy of formation: 2.9 kJ/mol of atoms
# Density: 6.8 g/cm3
# Crystal system: orthorhombic
data_La4Tb2ErSc
_cell_length_a 5.192
_cell_length_b 5.213
_cell_length_c 9.803
_cell_angle_alpha 90.00
_cell_angle_beta 90.00
_cell_angle_gamma 90.00
_space_group_name_H-M_alt 'P m m m'
_space_group_IT_number 47
loop_
_space_group_symop_operation_xyz
'x,y,z'
'-x,-y,-z'
'-x,-y,z'
'x,y,-z'
'x,-y,-z'
'-x,y,z'
'-x,y,-z'
'x,-y,z'
loop_
_atom_site_label
_atom_site_type_symbol
_atom_site_fract_x
_atom_site_fract_y
_atom_site_fract_z
La1 La 0.000 0.000 0.245
La2 La 0.500 0.500 0.246
Tb1 Tb 0.000 0.500 0.000
Tb2 Tb 0.500 0.000 0.500
Er1 Er 0.000 0.500 0.500
Sc1 Sc 0.500 0.000 0.000


# 10
# LaTb6Er2Sc3 | Alexandria | PBE | relaxed
# DOS at the Fermi energy: 34.07 states/eV/cell
# Energy of formation: 4.8 kJ/mol of atoms
# Density: 7.2 g/cm3
# Crystal system: monoclinic
data_LaTb6Er2Sc3
_cell_length_a 6.074
_cell_length_b 10.511
_cell_length_c 11.512
_cell_angle_alpha 90.00
_cell_angle_beta 100.08
_cell_angle_gamma 90.00
_space_group_name_H-M_alt 'C 1 2/m 1'
_space_group_IT_number 12
loop_
_space_group_symop_operation_xyz
'x,y,z'
'-x,-y,-z'
'-x,y,-z'
'x,-y,z'
'x+1/2,y+1/2,z'
'-x+1/2,-y+1/2,-z'
'-x+1/2,y+1/2,-z'
'x+1/2,-y+1/2,z'
loop_
_atom_site_label
_atom_site_type_symbol
_atom_site_fract_x
_atom_site_fract_y
_atom_site_fract_z
La1 La 0.000 0.000 0.000
Tb1 Tb 0.246 0.333 0.739
Tb2 Tb 0.247 0.000 0.739
Er1 Er 0.000 0.333 0.000
Sc1 Sc 0.000 0.167 0.500
Sc2 Sc 0.000 0.500 0.500